CaPrSn2 | PBE-GGA | optimized geometry

ΔE_f ... -2.57 eV/f.u.
Magnetic moment ... 0.0 μB per formula unit
Raw total energy ... -4.34 eV/atom

Cell lengths 5.056, 5.056, 4.506 Å; angles 90.00, 90.00, 90.00 degrees
Space group P4/mmm (No. 123)
Symmetry-distinct sites (fractional):
Ca  0.000  0.000  0.000
Pr  0.500  0.500  0.000
Sn  0.000  0.500  0.500